DFT (PBE) results for an optimized crystal structure of La4RuRhI2.

The value obtained for the uncorrected formation energy is -0.927 eV/atom. The space group is P2/m (10).

abc: 7.3032 4.2278 8.6351
angles: 90.00 106.44 90.00
Closest atoms and distances in Å follow each position.
Element x y z (fractional)
La 0.2236 0.0000 0.1860  2 Ru 2.87, 1 Rh 2.91
La 0.2660 0.5000 0.8155  1 Ru 2.84, 2 Rh 2.90
La 0.7340 0.5000 0.1845  1 Ru 2.84, 2 Rh 2.90
La 0.7764 0.0000 0.8140  2 Ru 2.87, 1 Rh 2.91
Ru 0.0000 0.5000 0.0000  6 La 2.84-2.87
Rh 0.5000 0.0000 0.0000  6 La 2.90-2.91
I 0.0000 0.0000 0.5000  6 La 3.54-3.56
I 0.5000 0.5000 0.5000  6 La 3.58-3.60